Compound: MgNpCdSn
Source: the Alexandria database
Functional: PBE
Structure: optimized geometry

The value obtained for the energy of formation is 0.063 eV per atom. As for the crystal system: cubic.

The structure in CIF format:
```
data_MgNpCdSn
_chemical_formula_sum 'Mg4 Np4 Cd4 Sn4'
_cell_length_a 7.3311
_cell_length_b 7.3311
_cell_length_c 7.3311
_cell_angle_alpha 90.00
_cell_angle_beta 90.00
_cell_angle_gamma 90.00
_space_group_name_H-M_alt 'F -4 3 m'
_space_group_IT_number 216
_space_group_name_Hall 'F -4 2 3'
loop_
_atom_site_label
_atom_site_type_symbol
_atom_site_fract_x
_atom_site_fract_y
_atom_site_fract_z
Mg1 Mg 0.0000 0.0000 0.0000
Np1 Np 0.0000 0.0000 0.5000
Cd1 Cd 0.2500 0.2500 0.2500
Sn1 Sn 0.2500 0.2500 0.7500
```



Compound: Mg5CdO6
Source: the Alexandria database
Functional: PBE
Structure: optimized geometry

Its uncorrected formation energy is -2.38 eV per atom. As for the crystal system: monoclinic.

The structure in CIF format:
```
data_Mg5CdO6
_chemical_formula_sum 'Mg10 Cd2 O12'
_cell_length_a 5.3533
_cell_length_b 9.2589
_cell_length_c 5.3438
_cell_angle_alpha 90.00
_cell_angle_beta 109.76
_cell_angle_gamma 90.00
_space_group_name_H-M_alt 'C 1 2/m 1'
_space_group_IT_number 12
loop_
_space_group_symop_operation_xyz
'x,y,z'
'-x,-y,-z'
'-x,y,-z'
'x,-y,z'
'x+1/2,y+1/2,z'
'-x+1/2,-y+1/2,-z'
'-x+1/2,y+1/2,-z'
'x+1/2,-y+1/2,z'
loop_
_atom_site_label
_atom_site_type_symbol
_atom_site_fract_x
_atom_site_fract_y
_atom_site_fract_z
Mg1 Mg 0.0000 0.0000 0.0000
Mg2 Mg 0.0000 0.1674 0.5000
Mg3 Mg 0.0000 0.3336 0.0000
Cd1 Cd 0.0000 0.5000 0.5000
O1 O 0.2366 0.0000 0.7666
O2 O 0.2368 0.1764 0.2432
```